Density functional theory data (GGA+U) for an optimized crystal structure of LiCo2O4.

```
LiCo2O4
1.0
10.963 0.000 0.000
0.000 2.823 0.000
-2.015 0.000 4.421
Li Co O
2 4 8
direct
0.000 0.000 0.000
0.500 0.500 0.000
0.240 0.500 0.787
0.253 0.000 0.306
0.740 0.000 0.787
0.753 0.500 0.306
0.147 0.000 0.531
0.147 0.500 0.041
0.345 0.000 0.044
0.347 0.500 0.570
0.647 0.000 0.041
0.647 0.500 0.531
0.845 0.500 0.044
0.847 0.000 0.570
```

calculated density	4.58	Mg/m³
energy	-5.701	eV/atom
symmetry	Cm
E above lowest polymorph	19	meV/atom